Entry 1:
First-principles (PBE) data for TcSnPtSe2 after structural relaxation, as listed in Alexandria via LeMat-Bulk.

Cell lengths 4.674, 5.458, 4.674 Å; angles 90.00, 90.00, 90.00 degrees
Element x y z (fractional)
Sn: 0.000 0.500 0.000
Tc: 0.000 0.000 0.000
Se: 0.000 0.000 0.500
Pt: 0.500 0.500 0.500
Se: 0.500 0.000 0.000

Properties
formation energy from raw total energies	606	meV per atom
D(E_F)	4.660	states/eV/f.u.
V	23.8	A^3/atom


Entry 2:
First-principles (PBE) data for ErScPb after structural relaxation, as listed in Alexandria via LeMat-Bulk.

Cell lengths 4.434, 4.434, 8.191 Å; angles 90.00, 90.00, 90.00 degrees
Element x y z (fractional)
Pb: 0.000 0.500 0.229
Sc: 0.500 0.500 0.500
Er: 0.500 0.000 0.161
Er: 0.000 0.500 0.839
Pb: 0.500 0.000 0.771
Sc: 0.000 0.000 0.500

Properties
calculated formation energy	-0.437	eV/atom
D(E_F)	2.519	states/eV/f.u.
V	26.8	A^3/atom
energy above the lowest structure with this stoichiometry	0.0000	eV/atom


Entry 3:
First-principles (PBE) data for RbBaTl2Ni after structural relaxation, as listed in Alexandria via LeMat-Bulk.

Cell lengths 5.439, 5.439, 5.679 Å; angles 90.00, 90.00, 90.00 degrees
Element x y z (fractional)
Ba: 0.000 0.000 0.500
Ni: 0.000 0.000 0.000
Tl: 0.000 0.500 0.000
Rb: 0.500 0.500 0.500
Tl: 0.500 0.000 0.000

Properties
calculated formation energy	0.001	eV/atom
D(E_F)	3.869	states/eV/f.u.
V	33.6	A^3/atom


Entry 4:
First-principles (PBE) data for Ti6NbZn after structural relaxation, as listed in Alexandria via LeMat-Bulk.

Cell lengths 4.029, 4.029, 8.335 Å; angles 90.00, 90.00, 90.00 degrees
Element x y z (fractional)
Nb: 0.000 0.000 0.000
Zn: 0.000 0.000 0.500
Ti: 0.500 0.500 0.000
Ti: 0.000 0.500 0.744
Ti: 0.500 0.500 0.500
Ti: 0.500 0.000 0.256
Ti: 0.000 0.500 0.256
Ti: 0.500 0.000 0.744

Properties
calculated formation energy	-0.007	eV/atom
D(E_F)	11.408	states/eV/f.u.
V	16.9	A^3/atom
energy above the lowest structure with this stoichiometry	0.0106	eV/atom


Entry 5:
First-principles (PBE) data for Ca2Be2PbO6 after structural relaxation, as listed in Alexandria via LeMat-Bulk.

Cell lengths 5.371, 5.371, 5.801 Å; angles 90.00, 90.00, 120.00 degrees
Element x y z (fractional)
Pb: 0.000 0.000 0.000
O: 0.632 0.700 0.777
Be: 0.667 0.333 0.173
Be: 0.333 0.667 0.827
O: 0.368 0.300 0.223
Ca: 0.333 0.667 0.372
O: 0.700 0.068 0.223
O: 0.300 0.932 0.777
O: 0.932 0.632 0.223
Ca: 0.667 0.333 0.628
O: 0.068 0.368 0.777

Properties
formation energy from raw total energies	-2139	meV per atom
D(E_F)	0.000	states/eV/f.u.
V	13.2	A^3/atom


Entry 6:
First-principles (PBE) data for Pa2AgP2N2 after structural relaxation, as listed in Alexandria via LeMat-Bulk.

Cell lengths 3.926, 3.926, 10.951 Å; angles 90.00, 90.00, 120.00 degrees
Element x y z (fractional)
Pa: 0.333 0.667 0.633
Pa: 0.667 0.333 0.367
N: 0.667 0.333 0.574
P: 0.000 0.000 0.784
P: 0.000 0.000 0.216
N: 0.333 0.667 0.426
Ag: 0.000 0.000 0.000

Properties
formation energy from raw total energies	-899	meV per atom
D(E_F)	9.705	states/eV/f.u.
V	20.9	A^3/atom